This record from Alexandria via LeMat-Bulk describes crystalline LiAc2PuSe5 at its relaxed geometry. The functional is GGA-PBE.

abc: 4.3405 17.8372 12.7340
angles: 90.00 90.00 90.00
With the nearest neighbours (Å) after each atom.
Space group Cmc2_1 (No. 36)
Unique sites:
1 Li 0.0000 0.0205 0.0000 (multiplicity 4)  3 Se 2.48-2.52
2 Ac 0.0000 0.3748 0.8236 (multiplicity 4)  8 Se 3.13-3.34
3 Ac 0.0000 0.3906 0.2080 (multiplicity 4)  8 Se 3.16-3.36
4 Pu 0.0000 0.3014 0.5260 (multiplicity 4)  6 Se 2.81-2.93
5 Se 0.0000 0.9999 0.3040 (multiplicity 4)  1 Li 2.52
6 Se 0.0000 0.1372 0.5218 (multiplicity 4)  1 Li 2.83, 1 Pu 2.93
7 Se 0.0000 0.1924 0.8727 (multiplicity 4)  2 Pu 2.92
8 Se 0.0000 0.2108 0.1792 (multiplicity 4)  2 Pu 2.93, 3 Ac 3.23
9 Se 0.0000 0.4528 0.5860 (multiplicity 4)  2 Li 2.48

Results
* size of the total moment: 5.001 μB per formula unit
* E_form (uncorrected): -1.728 eV/atom
* mass density: 7.4 Mg/m³